(1)
Here is an optimized crystal structure of RbLaAgHg from Alexandria. Energies are from GGA-PBE.

Lattice parameters (Å, degrees): 3.960 5.417 6.466 90.00 105.82 90.00
Space group Pm (No. 6)
One atom of each set of equivalent atoms:
Rb1 0.000 0.000 0.000 (multiplicity 1)
La1 0.747 0.500 0.442 (multiplicity 1)
Ag1 0.295 0.000 0.536 (multiplicity 1)
Hg1 0.434 0.500 0.859 (multiplicity 1)

Computed properties:
ρ   6.6 g cm⁻³
E_tot   -2.32 eV per atom
Energy of formation from the pure elements   -0.06 eV per atom

***

(2)
Here is an optimized crystal structure of Cu3PCl from Alexandria. Energies are from GGA-PBE.

Lattice parameters (Å, degrees): 4.449 4.449 4.449 90.00 90.00 90.00
Space group Pm-3m (No. 221)
One atom of each set of equivalent atoms:
Cu1 0.000 0.000 0.500 (multiplicity 3)
P1 0.000 0.000 0.000 (multiplicity 1)
Cl1 0.500 0.500 0.500 (multiplicity 1)

Computed properties:
ρ   4.8 g cm⁻³
E_tot   -3.77 eV per atom
Energy relative to the elements, uncorrected   0.142 eV/atom

***

(3)
Here is an optimized crystal structure of Cr4Os from Alexandria. Energies are from GGA-PBE.

Lattice parameters (Å, degrees): 4.684 4.684 4.684 90.00 90.00 90.00
Space group Pm-3m (No. 221)
One atom of each set of equivalent atoms:
Cr1 0.000 0.000 0.000 (multiplicity 1)
Cr2 0.000 0.500 0.500 (multiplicity 3)
Os1 0.500 0.500 0.500 (multiplicity 1)

Computed properties:
ρ   6.4 g cm⁻³
E_tot   -8.39 eV per atom
Energy of formation from the pure elements   1.56 eV per atom